Below is an optimized crystal structure of Rb2BaPt2C8N8, with properties calculated at the GGA-PBE level.

Calculated values
The magnetization is 0.000 μB/atom. As for the space group: P4/mmm. Its density of states at the Fermi level is 0.00 states/eV per cell. The formation energy from raw total energies is -207.8 meV per atom.

Unit cell a=7.8801 b=7.8801 c=7.2323 alpha=90.00 beta=90.00 gamma=90.00
Element x y z (fractional)
Rb: 0.5000 0.0000 0.5000
Rb: 0.0000 0.5000 0.5000
Ba: 0.5000 0.5000 0.0000
Pt: 0.0000 0.0000 0.7579
Pt: 0.0000 0.0000 0.2421
C: 0.1785 0.1785 0.7613
C: 0.8215 0.8215 0.2387
C: 0.8215 0.1785 0.7613
C: 0.1785 0.8215 0.7613
C: 0.1785 0.1785 0.2387
C: 0.8215 0.8215 0.7613
C: 0.8215 0.1785 0.2387
C: 0.1785 0.8215 0.2387
N: 0.2839 0.7161 0.7660
N: 0.2839 0.2839 0.2340
N: 0.2839 0.2839 0.7660
N: 0.7161 0.7161 0.2340
N: 0.7161 0.2839 0.7660
N: 0.7161 0.7161 0.7660
N: 0.2839 0.7161 0.2340
N: 0.7161 0.2839 0.2340